Entry from Alexandria via LeMat-Bulk: a geometry-optimized Dy2Ag2Pd15 structure (PBE).

Spin magnetization, μB per formula unit: 0.0
Energy of formation, eV/atom: -0.307
SG: R-3m, No. 166

Lattice parameters (Å, degrees): 6.984 6.984 6.984 81.73 81.73 81.73
Element x y z (fractional)
Dy  0.344  0.344  0.344
Dy  0.656  0.656  0.656
Ag  0.099  0.099  0.099
Ag  0.901  0.901  0.901
Pd  0.500  0.000  0.000
Pd  0.000  0.000  0.500
Pd  0.000  0.500  0.000
Pd  0.000  0.682  0.318
Pd  0.682  0.318  0.000
Pd  0.318  0.000  0.682
Pd  0.318  0.682  0.000
Pd  0.682  0.000  0.318
Pd  0.000  0.318  0.682
Pd  0.165  0.656  0.656
Pd  0.656  0.656  0.165
Pd  0.656  0.165  0.656
Pd  0.835  0.344  0.344
Pd  0.344  0.344  0.835
Pd  0.344  0.835  0.344



Entry from Alexandria via LeMat-Bulk: a geometry-optimized DyAg3Pd4 structure (PBE).

Spin magnetization, μB per formula unit: 0.0
Energy of formation, eV/atom: -0.392
SG: C2/m, No. 12

Lattice parameters (Å, degrees): 4.286 4.286 8.182 105.11 105.11 89.98
Element x y z (fractional)
Pd  0.373  0.373  0.747
Pd  0.627  0.627  0.253
Pd  0.127  0.127  0.253
Pd  0.873  0.873  0.747
Ag  0.000  0.500  0.000
Ag  0.751  0.251  0.503
Ag  0.249  0.749  0.497
Dy  0.500  0.000  0.000



Entry from Alexandria via LeMat-Bulk: a geometry-optimized DyAg2Pd structure (PBE).

Energy relative to the lowest polymorph listed for this composition, eV per atom: 0.071
Spin magnetization, μB per formula unit: 0.0
Energy of formation, eV/atom: -0.413
SG: P2_1/m, No. 11

Lattice parameters (Å, degrees): 4.200 5.312 8.019 90.00 90.00 113.33
Element x y z (fractional)
Dy  0.064  0.126  0.250
Dy  0.936  0.874  0.750
Ag  0.363  0.727  0.055
Ag  0.363  0.727  0.445
Ag  0.637  0.273  0.945
Ag  0.637  0.273  0.555
Pd  0.768  0.536  0.250
Pd  0.232  0.464  0.750



Entry from Alexandria via LeMat-Bulk: a geometry-optimized Dy3AgPd5 structure (PBE).

Spin magnetization, μB per formula unit: 0.0
Energy of formation, eV/atom: -0.785
SG: P6_3/mcm, No. 193

Lattice parameters (Å, degrees): 5.718 8.450 8.454 119.99 90.00 90.00
Element x y z (fractional)
Dy  0.750  0.357  0.357
Dy  0.750  0.000  0.643
Dy  0.750  0.643  0.000
Dy  0.250  0.643  0.643
Dy  0.250  0.000  0.357
Dy  0.250  0.357  0.000
Ag  0.000  0.000  0.000
Ag  0.500  0.000  0.000
Pd  0.000  0.667  0.333
Pd  0.500  0.333  0.667
Pd  0.000  0.333  0.667
Pd  0.500  0.667  0.333
Pd  0.750  0.688  0.689
Pd  0.750  0.000  0.311
Pd  0.750  0.311  0.000
Pd  0.250  0.312  0.311
Pd  0.250  0.000  0.689
Pd  0.250  0.689  0.000



Entry from Alexandria via LeMat-Bulk: a geometry-optimized Dy2AgPd4 structure (PBE).

Spin magnetization, μB per formula unit: 0.0
Energy of formation, eV/atom: -0.623
SG: I4/mmm, No. 139

Lattice parameters (Å, degrees): 4.012 4.012 9.539 102.14 102.14 90.00
Element x y z (fractional)
Dy  0.621  0.621  0.242
Dy  0.379  0.379  0.758
Ag  0.000  0.000  0.000
Pd  0.146  0.146  0.292
Pd  0.854  0.854  0.708
Pd  0.750  0.250  0.500
Pd  0.250  0.750  0.500



Entry from Alexandria via LeMat-Bulk: a geometry-optimized Dy3Ag3Pd2 structure (PBE).

Spin magnetization, μB per formula unit: 0.0
Energy of formation, eV/atom: -0.580
SG: P-62m, No. 189

Lattice parameters (Å, degrees): 3.670 7.460 7.460 120.00 90.00 90.00
Element x y z (fractional)
Dy  0.500  0.409  0.409
Dy  0.500  0.591  0.000
Dy  0.500  0.000  0.591
Ag  0.000  0.771  0.771
Ag  0.000  0.229  0.000
Ag  0.000  0.000  0.229
Pd  0.000  0.333  0.667
Pd  0.000  0.667  0.333



Number 4 is which compound?
Dy3AgPd5



Look up the spin magnetization of the fourth one.
0.0 μB per formula unit